Entry 1:
## CoS2NCl (GGA-PBEsol)

Data for a relaxed CoS2NCl crystal.

The structure in POSCAR format:
```
CoS2NCl
1.0
3.343 0.000 0.000
0.000 4.660 0.000
0.000 0.000 4.660
Co S N Cl
1 2 1 1
direct
0.000 0.000 0.000
0.000 0.000 0.500
0.000 0.500 0.000
0.500 0.000 0.000
0.500 0.500 0.500
```

Calculated values
**SG**: P4/mmm, No. 123
**Formation energy without anion corrections**: 647 meV/atom

***

Entry 2:
## BaAgSn (GGA-PBEsol)

Data for a relaxed BaAgSn crystal.

The structure in POSCAR format:
```
BaAgSn
1.0
-4.650 0.844 -1.675
-4.515 -2.287 3.878
-2.547 5.384 2.277
Sn Ba Ag
2 2 2
direct
0.874 0.816 0.437
0.874 0.437 0.816
0.584 0.416 0.416
0.499 0.001 0.001
0.206 0.001 0.587
0.206 0.587 0.001
```

Calculated values
**SG**: Imm2, No. 44
**ΔH_f (0 K)**: -0.520 eV per atom

***

Entry 3:
## FeSi2Cl (GGA-PBEsol)

Data for a relaxed FeSi2Cl crystal.

The structure in POSCAR format:
```
FeSi2Cl
1.0
-2.278 1.447 0.118
-3.032 -2.400 2.930
0.495 3.090 3.708
Cl Fe Si
1 1 2
direct
0.000 0.500 0.500
0.000 0.000 0.000
0.000 0.500 0.000
0.000 0.000 0.500
```

Calculated values
**SG**: C2/m, No. 12
**Energy above the most stable polymorph in this dataset**: 181.8 meV/atom
**Formation energy without anion corrections**: 291 meV/atom

***

Entry 4:
## Na2ZrBH (GGA-PBEsol)

Data for a relaxed Na2ZrBH crystal.

The structure in POSCAR format:
```
Na2ZrBH
1.0
-1.762 -2.974 -1.359
3.267 -1.671 -0.578
-0.245 -2.429 5.632
H Zr B Na
1 1 1 2
direct
0.000 0.000 0.000
0.500 0.500 0.500
0.000 0.000 0.500
0.000 0.500 0.000
0.500 0.000 0.000
```

Calculated values
**SG**: P4/mmm, No. 123
**Uncorrected energy**: -3.6212 eV/atom

***

Entry 5:
## MoH2IrN (GGA-PBEsol)

Data for a relaxed MoH2IrN crystal.

The structure in POSCAR format:
```
MoH2IrN
1.0
3.757 0.000 0.000
0.000 3.684 0.000
0.000 0.000 3.684
H Mo N Ir
2 1 1 1
direct
0.000 0.500 0.000
0.000 0.000 0.500
0.500 0.500 0.500
0.000 0.000 0.000
0.500 0.000 0.000
```

Calculated values
**SG**: P4/mmm, No. 123
**Uncorrected energy**: -6.0355 eV/atom

***

Entry 6:
## Ca2Ag2P (GGA-PBEsol)

Data for a relaxed Ca2Ag2P crystal.

The structure in POSCAR format:
```
Ca2Ag2P
1.0
-3.189 -1.803 0.586
0.789 -0.218 3.618
-2.652 8.238 -0.826
Ag Ca P
2 2 1
direct
0.750 0.250 0.500
0.250 0.750 0.500
0.409 0.409 0.818
0.591 0.591 0.182
0.000 0.000 0.000
```

Calculated values
**SG**: I4/mmm, No. 139
**ΔH_f (0 K)**: -0.430 eV per atom

***

Entry 7:
## Li2CaZn (GGA-PBEsol)

Data for a relaxed Li2CaZn crystal.

The structure in POSCAR format:
```
Li2CaZn
1.0
3.516 0.000 0.000
0.000 3.516 0.000
0.000 0.000 7.065
Ca Li Zn
1 2 1
direct
0.000 0.000 0.715
0.500 0.500 0.059
0.000 0.000 0.273
0.500 0.500 0.453
```

Calculated values
**SG**: P4mm, No. 99
**ΔH_f (0 K)**: -0.076 eV per atom

***

Entry 8:
## Cd2AgAu (GGA-PBEsol)

Data for a relaxed Cd2AgAu crystal.

The structure in POSCAR format:
```
Cd2AgAu
1.0
-1.932 -0.268 -2.221
2.872 -4.116 -0.035
-3.657 -1.504 3.363
Au Cd Ag
1 2 1
direct
0.000 0.000 0.500
0.251 0.501 0.250
0.749 0.499 0.750
0.500 0.000 0.000
```

Calculated values
**SG**: C2/m, No. 12
**ΔH_f (0 K)**: -0.092 eV per atom
**Energy above the most stable polymorph in this dataset**: 50.5 meV/atom

***

Entry 9:
## Li2NdPb (GGA-PBEsol)

Data for a relaxed Li2NdPb crystal.

The structure in POSCAR format:
```
Li2NdPb
1.0
4.890 0.000 0.000
2.445 4.235 0.000
2.445 1.412 3.993
Li Pb Nd
2 1 1
direct
0.750 0.750 0.750
0.250 0.250 0.250
0.000 0.000 0.000
0.500 0.500 0.500
```

Calculated values
**SG**: Fm-3m, No. 225
**ΔH_f (0 K)**: -0.379 eV per atom

***

Entry 10:
## MnPbBr2 (GGA-PBEsol)

Data for a relaxed MnPbBr2 crystal.

The structure in POSCAR format:
```
MnPbBr2
1.0
-0.746 -3.372 3.811
1.478 -4.893 -0.570
4.015 -1.800 2.664
Br Pb Mn
2 1 1
direct
0.750 0.750 0.750
0.250 0.250 0.250
0.500 0.500 0.500
0.000 0.000 0.000
```

Calculated values
**SG**: Fm-3m, No. 225
**Energy above the most stable polymorph in this dataset**: 361.5 meV/atom
**Formation energy without anion corrections**: 148 meV/atom

***

Entry 11:
## SrPt3Br (GGA-PBEsol)

Data for a relaxed SrPt3Br crystal.

The structure in POSCAR format:
```
SrPt3Br
1.0
5.143 0.000 0.000
0.000 5.143 0.000
0.000 0.000 5.143
Sr Pt Br
1 3 1
direct
0.000 0.000 0.000
0.500 0.000 0.000
0.000 0.500 0.000
0.000 0.000 0.500
0.500 0.500 0.500
```

Calculated values
**SG**: Pm-3m, No. 221
**Formation energy without anion corrections**: 1779 meV/atom

***

Entry 12:
## Ni3S4 (GGA-PBEsol)

Data for a relaxed Ni3S4 crystal.

The structure in POSCAR format:
```
Ni3S4
1.0
6.576 0.000 0.000
3.288 5.695 0.000
3.288 1.898 5.370
S Ni
8 6
direct
0.849 0.384 0.384
0.866 0.866 0.866
0.866 0.401 0.866
0.866 0.866 0.401
0.401 0.866 0.866
0.384 0.849 0.384
0.384 0.384 0.849
0.384 0.384 0.384
0.250 0.250 0.250
0.625 0.125 0.625
0.625 0.625 0.625
0.625 0.625 0.125
0.125 0.625 0.625
0.000 0.000 0.000
```

Calculated values
**SG**: Fd-3m, No. 227
**Formation energy without anion corrections**: -466 meV/atom

***

Entry 13:
## NiSbP2 (GGA-PBEsol)

Data for a relaxed NiSbP2 crystal.

The structure in POSCAR format:
```
NiSbP2
1.0
3.573 0.000 0.000
0.000 4.217 -0.035
0.000 -1.295 4.368
Sb P Ni
1 2 1
direct
0.500 0.000 0.500
0.000 0.256 0.157
0.000 0.744 0.843
0.500 0.500 0.000
```

Calculated values
**SG**: P2/m, No. 10
**Formation energy without anion corrections**: -139 meV/atom

***

Entry 14:
## ZnIn2I (GGA-PBEsol)

Data for a relaxed ZnIn2I crystal.

The structure in POSCAR format:
```
ZnIn2I
1.0
-4.755 1.102 2.316
-1.880 -3.170 3.950
-0.171 1.829 5.080
In I Zn
2 1 1
direct
0.750 0.750 0.750
0.250 0.250 0.250
0.500 0.500 0.500
0.000 0.000 0.000
```

Calculated values
**SG**: Fm-3m, No. 225
**Formation energy without anion corrections**: 184 meV/atom